The following is a GGA+U calculation of a relaxed structure of VPtIO2, from Alexandria.

a = 3.919 Å, b = 3.919 Å, c = 7.070 Å
α = 90.00°, β = 90.00°, γ = 90.00°
Space group P4/mmm (No. 123)
One atom of each set of equivalent atoms:
V1 0.000 0.000 0.000 [1 per cell]
Pt1 0.500 0.500 0.500 [1 per cell]
I1 0.500 0.500 0.000 [1 per cell]
O1 0.000 0.500 0.500 [2 per cell]

## Properties
DOS(E_F) = 1.2400 states/eV per atom
Relative energy among the computed polymorphs = 1150 meV per atom
Raw total energy = -4.392 eV/atom
Crystal system = tetragonal
Magnetic moment = 0.6 μB/f.u.

***

The following is a GGA+U calculation of a relaxed structure of VPtI2O, from Alexandria.

a = 5.736 Å, b = 5.736 Å, c = 3.836 Å
α = 90.00°, β = 90.00°, γ = 90.00°
Space group P4/mmm (No. 123)
One atom of each set of equivalent atoms:
V1 0.000 0.000 0.000 [1 per cell]
Pt1 0.500 0.500 0.500 [1 per cell]
I1 0.000 0.500 0.500 [2 per cell]
O1 0.500 0.500 0.000 [1 per cell]

## Properties
DOS(E_F) = 0.6268 states/eV per atom
Relative energy among the computed polymorphs = 303 meV per atom
Raw total energy = -4.060 eV/atom
Crystal system = tetragonal
Magnetic moment = 4.2 μB/f.u.

***

The following is a GGA+U calculation of a relaxed structure of VPtI2O, from Alexandria.

a = 5.557 Å, b = 5.557 Å, c = 3.629 Å
α = 90.00°, β = 90.00°, γ = 90.00°
Space group P4/mmm (No. 123)
One atom of each set of equivalent atoms:
V1 0.000 0.000 0.000 [1 per cell]
Pt1 0.500 0.500 0.500 [1 per cell]
I1 0.000 0.500 0.000 [2 per cell]
O1 0.000 0.000 0.500 [1 per cell]

## Properties
DOS(E_F) = 0.8815 states/eV per atom
Relative energy among the computed polymorphs = 0 meV per atom
Raw total energy = -4.363 eV/atom
Crystal system = tetragonal
Magnetic moment = 1.4 μB/f.u.

***

The following is a GGA+U calculation of a relaxed structure of VPtIO2, from Alexandria.

a = 3.768 Å, b = 3.768 Å, c = 6.248 Å
α = 90.00°, β = 90.00°, γ = 90.00°
Space group P4/mmm (No. 123)
One atom of each set of equivalent atoms:
V1 0.000 0.000 0.000 [1 per cell]
Pt1 0.500 0.500 0.500 [1 per cell]
I1 0.000 0.000 0.500 [1 per cell]
O1 0.000 0.500 0.000 [2 per cell]

## Properties
DOS(E_F) = 0.7078 states/eV per atom
Relative energy among the computed polymorphs = 0 meV per atom
Raw total energy = -5.542 eV/atom
Crystal system = tetragonal
Magnetic moment = 0.7 μB/f.u.

***

The following is a GGA+U calculation of a relaxed structure of PtWIO2, from Alexandria.

a = 3.965 Å, b = 3.965 Å, c = 7.321 Å
α = 90.00°, β = 90.00°, γ = 90.00°
Space group P4/mmm (No. 123)
One atom of each set of equivalent atoms:
Pt1 0.000 0.000 0.000 [1 per cell]
W1 0.500 0.500 0.500 [1 per cell]
I1 0.000 0.000 0.500 [1 per cell]
O1 0.000 0.500 0.000 [2 per cell]

## Properties
DOS(E_F) = 0.7928 states/eV per atom
Relative energy among the computed polymorphs = 1222 meV per atom
Raw total energy = -4.380 eV/atom
Crystal system = tetragonal
Magnetic moment = 5.0 μB/f.u.

***

The following is a GGA+U calculation of a relaxed structure of PtWIO2, from Alexandria.

a = 3.865 Å, b = 3.865 Å, c = 7.414 Å
α = 90.00°, β = 90.00°, γ = 90.00°
Space group P4/mmm (No. 123)
One atom of each set of equivalent atoms:
Pt1 0.000 0.000 0.000 [1 per cell]
W1 0.500 0.500 0.500 [1 per cell]
I1 0.500 0.500 0.000 [1 per cell]
O1 0.000 0.500 0.500 [2 per cell]

## Properties
DOS(E_F) = 0.7565 states/eV per atom
Relative energy among the computed polymorphs = 0 meV per atom
Raw total energy = -5.602 eV/atom
Crystal system = tetragonal
Magnetic moment = 1.6 μB/f.u.

***

Number 1: calculated volume 21.7 A^3/atom. Number 2: calculated volume 25.2 A^3/atom. Number 3: calculated volume 22.4 A^3/atom. Number 4: calculated volume 17.7 A^3/atom. Number 5: calculated volume 23.0 A^3/atom. Number 6: calculated volume 22.2 A^3/atom.